(1)
CrMoRu2 | PBE | optimized geometry

Summary:
E above lowest polymorph	75	meV/atom
calculated formation energy	15.1	kJ per mole of atoms
DOS(E_F)	6.13	states/eV per cell
crystal system	trigonal
uncorrected energy	-9.59	eV/atom

Cell and atoms, written as POSCAR:
```
CrMoRu2
1.0
-2.108 8.229 2.873
-4.482 7.017 3.330
-2.514 6.876 5.179
Ru Mo Cr
2 1 1
Cartesian
-4.595 11.165 5.744 Ru
-9.062 22.018 11.328 Ru
-6.829 16.592 8.536 Mo
-2.276 5.531 2.845 Cr
```

=====

(2)
CrMoRu2 | PBE | optimized geometry

Summary:
E above lowest polymorph	46	meV/atom
calculated formation energy	12.3	kJ per mole of atoms
DOS(E_F)	5.38	states/eV per cell
crystal system	tetragonal
uncorrected energy	-9.62	eV/atom

Cell and atoms, written as POSCAR:
```
CrMoRu2
1.0
4.739 0.001 0.000
1.723 4.415 0.000
-3.231 -2.208 2.673
Ru Cr Mo
2 1 1
Cartesian
0.000 0.000 0.000 Ru
0.861 2.207 1.336 Ru
3.231 2.208 0.000 Cr
2.369 0.000 1.336 Mo
```

=====

(3)
CrMoRu2 | PBE | optimized geometry

Summary:
E above lowest polymorph	108	meV/atom
calculated formation energy	18.3	kJ per mole of atoms
DOS(E_F)	4.62	states/eV per cell
crystal system	orthorhombic
uncorrected energy	-9.56	eV/atom

Cell and atoms, written as POSCAR:
```
CrMoRu2
1.0
5.209 0.011 -0.007
2.583 4.523 0.007
-3.364 -3.181 2.386
Mo Ru Cr
1 2 1
Cartesian
1.558 1.804 1.197 Mo
7.583 4.412 0.000 Ru
4.105 2.388 0.000 Ru
2.870 -0.452 1.189 Cr
```